(1)
NdLuTl2 | GGA-PBE | relaxed

```
4
Lattice="-0.376 -2.570 2.703 -1.097 -3.479 -0.861 8.852 -4.662 -0.601" Properties=species:S:1:pos:R:3 pbc="T T T"
Tl 5.631 -8.061 0.918
Lu 0.000 0.000 0.000
Nd 3.690 -5.355 0.620
Tl 1.748 -2.650 0.323
```

**Relative energy among the computed polymorphs**: 0.357 eV/f.u.
**Symmetry**: R-3m
**Energy of formation**: -0.92 eV/f.u.
**Density of states at the Fermi level**: 2.7 states/eV/f.u.
**Total moment**: 0.0 Bohr magnetons per cell

***

(2)
ErUNb | GGA-PBE | relaxed

```
6
Lattice="3.264 0.000 0.000 -1.632 2.827 0.000 0.000 0.000 15.418" Properties=species:S:1:pos:R:3 pbc="T T T"
U 0.000 1.885 12.044
Er 0.000 0.000 9.336
U 1.632 0.942 3.374
Er 0.000 0.000 6.082
Nb 1.632 0.942 14.385
Nb 0.000 1.885 1.033
```

**Symmetry**: P-3m1
**Energy of formation**: 1.22 eV/f.u.
**Density of states at the Fermi level**: 6.1 states/eV/f.u.
**Total moment**: 3.9 Bohr magnetons per cell

***

(3)
Pm2As3Pd4Rh | GGA-PBE | relaxed

```
10
Lattice="4.167 0.000 0.000 0.000 4.167 0.000 0.000 0.000 10.960" Properties=species:S:1:pos:R:3 pbc="T T T"
Pd 2.084 2.084 0.000
As 0.000 0.000 5.480
Pm 0.000 2.084 8.179
As 0.000 2.084 1.447
Pd 2.084 0.000 7.117
As 2.084 0.000 9.513
Pd 0.000 0.000 0.000
Pd 0.000 2.084 3.844
Pm 2.084 0.000 2.781
Rh 2.084 2.084 5.480
```

**Symmetry**: P-4m2
**Energy of formation**: -7.32 eV/f.u.
**Density of states at the Fermi level**: 7.3 states/eV/f.u.
**Total moment**: 0.0 Bohr magnetons per cell

***

(4)
BiTeH4 | GGA-PBE | relaxed

```
12
Lattice="-5.492 0.809 -1.383 -4.962 -4.848 -1.059 -4.180 -2.189 6.357" Properties=species:S:1:pos:R:3 pbc="T T T"
H -1.935 -1.657 0.233
H -8.765 -5.020 0.681
H -5.869 -1.208 3.234
H -5.146 -4.099 1.542
Te -7.048 -1.755 0.251
H -12.698 -4.571 3.682
H -9.487 -2.128 2.372
Bi -5.243 -2.030 4.753
H -6.076 -2.745 -0.752
H -8.558 -3.483 4.667
Bi -9.391 -4.198 -0.838
Te -7.585 -4.472 3.664
```

**Symmetry**: C2/c
**Calculated total energy**: -36.35 eV/cell
**Density of states at the Fermi level**: 0.7 states/eV/f.u.
**Total moment**: 0.0 Bohr magnetons per cell

***

Number 2 is which compound?
ErUNb

***

Which of these has the highest density of states at the Fermi level?
Pm2As3Pd4Rh

***

total moment of number 1 (NdLuTl2)?
0.0 Bohr magnetons per cell